LiAgSn2: optimized geometry, PBE.

abc: 7.111 7.111 7.111
angles: 90.00 90.00 90.00
Space group F-43m (No. 216)
Asymmetric unit:
1 Li 0.000 0.000 0.000 x4
2 Ag 0.250 0.250 0.250 x4
3 Sn 0.000 0.000 0.500 x4
4 Sn 0.250 0.250 0.750 x4

Results
volume	22.47	Å³ per atom
total DFT energy (no corrections)	-3.25	eV per atom

NaZnCoTe: optimized geometry, PBE.

abc: 6.862 6.862 6.862
angles: 90.00 90.00 90.00
Space group F-43m (No. 216)
Asymmetric unit:
1 Na 0.000 0.000 0.000 x4
2 Zn 0.000 0.000 0.500 x4
3 Co 0.250 0.250 0.750 x4
4 Te 0.250 0.250 0.250 x4

Results
volume	20.19	Å³ per atom
total DFT energy (no corrections)	-2.71	eV per atom

LuTaSiNi: optimized geometry, PBE.

abc: 6.480 6.480 6.480
angles: 90.00 90.00 90.00
Space group F-43m (No. 216)
Asymmetric unit:
1 Lu 0.000 0.000 0.000 x4
2 Ta 0.250 0.250 0.750 x4
3 Si 0.250 0.250 0.250 x4
4 Ni 0.000 0.000 0.500 x4

Results
volume	17.01	Å³ per atom
total DFT energy (no corrections)	-6.43	eV per atom

Lu2In8Pt: optimized geometry, PBE.

abc: 4.659 4.659 12.008
angles: 90.00 90.00 90.00
Space group P4/mmm (No. 123)
Asymmetric unit:
1 Lu 0.000 0.000 0.187 x2
2 In 0.000 0.500 0.000 x2
3 In 0.000 0.500 0.371 x4
4 In 0.500 0.500 0.190 x2
5 Pt 0.000 0.000 0.500 x1

Results
volume	23.70	Å³ per atom
total DFT energy (no corrections)	-3.72	eV per atom

PmAs2O: optimized geometry, PBE.

abc: 4.364 6.251 6.418
angles: 90.00 90.00 90.00
Space group Pmc2_1 (No. 26)
Asymmetric unit:
1 Pm 0.000 0.239 0.000 x2
2 As 0.000 0.278 0.468 x2
3 As 0.500 0.137 0.613 x2
4 O 0.500 0.276 0.871 x2

Results
volume	21.89	Å³ per atom
total DFT energy (no corrections)	-5.97	eV per atom

InCoOsW: optimized geometry, PBE.

abc: 6.258 6.258 6.258
angles: 90.00 90.00 90.00
Space group F-43m (No. 216)
Asymmetric unit:
1 In 0.000 0.000 0.000 x4
2 Co 0.250 0.250 0.250 x4
3 Os 0.250 0.250 0.750 x4
4 W 0.000 0.000 0.500 x4

Results
volume	15.32	Å³ per atom
total DFT energy (no corrections)	-8.22	eV per atom

BaHgSeO: optimized geometry, PBE.

abc: 4.358 15.047 6.609
angles: 90.00 90.00 90.00
Space group Cmc2_1 (No. 36)
Asymmetric unit:
1 Ba 0.000 0.143 0.000 x4
2 Hg 0.000 0.427 0.056 x4
3 Se 0.000 0.175 0.500 x4
4 O 0.000 0.438 0.428 x4

Results
volume	27.09	Å³ per atom
total DFT energy (no corrections)	-3.99	eV per atom

CsErInTe3: optimized geometry, PBE.

abc: 4.585 17.049 12.196
angles: 90.00 90.00 90.00
Space group Cmcm (No. 63)
Asymmetric unit:
1 Cs 0.000 0.248 0.250 x4
2 Er 0.000 0.000 0.000 x4
3 In 0.000 0.447 0.750 x4
4 Te 0.000 0.055 0.750 x4
5 Te 0.000 0.378 0.526 x8

Results
volume	39.72	Å³ per atom
total DFT energy (no corrections)	-3.85	eV per atom

Ba2ScCo: optimized geometry, PBE.

abc: 7.764 7.764 7.764
angles: 90.00 90.00 90.00
Space group F-43m (No. 216)
Asymmetric unit:
1 Ba 0.000 0.000 0.000 x4
2 Ba 0.250 0.250 0.250 x4
3 Sc 0.000 0.000 0.500 x4
4 Co 0.250 0.250 0.750 x4

Results
volume	29.25	Å³ per atom
total DFT energy (no corrections)	-3.59	eV per atom

RbCo3N5: optimized geometry, PBE.

abc: 4.7378 4.7378 6.0083
angles: 90.00 90.00 120.00
Space group P6/mmm (No. 191)
Asymmetric unit:
1 Rb 0.0000 0.0000 0.0000 x1
2 Co 0.0000 0.5000 0.5000 x3
3 N 0.0000 0.0000 0.5000 x1
4 N 0.3333 0.6667 0.2889 x4

Results
volume	12.98	Å³ per atom
total DFT energy (no corrections)	-6.25	eV per atom

IrPd2Pb: optimized geometry, PBE.

abc: 6.479 6.479 6.479
angles: 90.00 90.00 90.00
Space group F-43m (No. 216)
Asymmetric unit:
1 Ir 0.000 0.000 0.000 x4
2 Pd 0.000 0.000 0.500 x4
3 Pd 0.250 0.250 0.250 x4
4 Pb 0.250 0.250 0.750 x4

Results
volume	17.00	Å³ per atom
total DFT energy (no corrections)	-5.64	eV per atom

Ba2BeMoS6: optimized geometry, PBE.

abc: 9.463 9.463 9.463
angles: 90.00 90.00 90.00
Space group Fm-3m (No. 225)
Asymmetric unit:
1 Ba 0.250 0.250 0.250 x8
2 Be 0.000 0.000 0.000 x4
3 Mo 0.000 0.000 0.500 x4
4 S 0.000 0.000 0.245 x24

Results
volume	21.18	Å³ per atom
total DFT energy (no corrections)	-5.31	eV per atom

What is the formula in the ninth record? Ba2ScCo

Copy entry 11 word for word.
IrPd2Pb: optimized geometry, PBE.

abc: 6.479 6.479 6.479
angles: 90.00 90.00 90.00
Space group F-43m (No. 216)
Asymmetric unit:
1 Ir 0.000 0.000 0.000 x4
2 Pd 0.000 0.000 0.500 x4
3 Pd 0.250 0.250 0.250 x4
4 Pb 0.250 0.250 0.750 x4

Results
volume	17.00	Å³ per atom
total DFT energy (no corrections)	-5.64	eV per atom